Model A:
Cd3SbI: relaxed, PBE.

SG = R3c (161)
V = 35.9 Å³ per atom

Cell lengths 7.938, 7.938, 7.938 Å; angles 60.67, 60.67, 60.67 degrees
Fractional coordinates of all 10 atoms:
1 I 0.742 0.742 0.742
2 Cd 0.844 0.247 0.644
3 Cd 0.144 0.747 0.344
4 Sb 0.494 0.494 0.494
5 Cd 0.344 0.144 0.747
6 I 0.242 0.242 0.242
7 Cd 0.747 0.344 0.144
8 Sb 0.994 0.994 0.994
9 Cd 0.644 0.844 0.247
10 Cd 0.247 0.644 0.844

Model B:
Cd3SbI: relaxed, PBE.

SG = Pm-3m (221)
V = 37.5 Å³ per atom

Cell lengths 5.723, 5.723, 5.723 Å; angles 90.00, 90.00, 90.00 degrees
Fractional coordinates of all 5 atoms:
1 Cd 0.500 0.000 0.000
2 I 0.500 0.500 0.500
3 Cd 0.000 0.000 0.500
4 Sb 0.000 0.000 0.000
5 Cd 0.000 0.500 0.000

Stability comparison, relative energies in eV/atom: model A 0.000; model B 0.040